# 1
The following is a SCAN calculation of Y2FeSi at its PBEsol-relaxed geometry, from Alexandria via LeMat-Bulk.

Properties
calculated total energy	-20.8119	eV per atom
formation energy (no corrections)	0.6	eV/f.u.

Cell and atoms, written as CIF:
```
data_Y2FeSi
_chemical_formula_sum 'Y8 Fe4 Si4'
_cell_length_a 6.549
_cell_length_b 6.549
_cell_length_c 6.549
_cell_angle_alpha 90.00
_cell_angle_beta 90.00
_cell_angle_gamma 90.00
_symmetry_space_group_name_H-M 'F -4 3 m'
_symmetry_Int_Tables_number 216
_symmetry_space_group_name_Hall 'F -4 2 3'
loop_
_atom_site_label
_atom_site_fract_x
_atom_site_fract_y
_atom_site_fract_z
Y1 0.000 0.000 0.000
Y2 0.250 0.250 0.250
Fe1 0.250 0.250 0.750
Si1 0.000 0.000 0.500
```

=====

# 2
The following is a SCAN calculation of YFe4Si2 at its PBEsol-relaxed geometry, from Alexandria via LeMat-Bulk.

Properties
calculated total energy	-17.5579	eV per atom
formation energy (no corrections)	-2.5	eV/f.u.
N(E_F)	10.4	states/eV per cell

Cell and atoms, written as CIF:
```
data_YFe4Si2
_chemical_formula_sum 'Y2 Fe8 Si4'
_cell_length_a 6.994
_cell_length_b 6.994
_cell_length_c 3.679
_cell_angle_alpha 90.00
_cell_angle_beta 90.00
_cell_angle_gamma 90.00
_symmetry_space_group_name_H-M 'P 42/m n m'
_symmetry_Int_Tables_number 136
_symmetry_space_group_name_Hall '-P 4n 2n'
loop_
_atom_site_label
_atom_site_fract_x
_atom_site_fract_y
_atom_site_fract_z
Y1 0.000 0.000 0.000
Fe1 0.084 0.354 0.500
Si1 0.220 0.780 0.500
```

=====

What is the formula in the second record?
YFe4Si2

=====

calculated total energy of number 2 (YFe4Si2)?
-17.5579 eV per atom

=====

Which of these has the lowest formation energy (no corrections)?
YFe4Si2

=====

The lowest formation energy (no corrections) belongs to which entry?
YFe4Si2